Ac2NpNi3O12: relaxed, PBE+U.

a b c (Å): 6.5843 6.5843 6.5843
angles (deg): 61.78 61.78 61.78
Atoms (fractional coordinates):
Ac  0.1113  0.1113  0.1113
Ac  0.8887  0.8887  0.8887
Np  0.5000  0.5000  0.5000
Ni  0.0000  0.5000  0.5000
Ni  0.5000  0.0000  0.5000
Ni  0.5000  0.5000  0.0000
O  0.0859  0.6332  0.6332
O  0.2265  0.2265  0.6313
O  0.2265  0.6313  0.2265
O  0.3668  0.3668  0.9141
O  0.3668  0.9141  0.3668
O  0.3687  0.7735  0.7735
O  0.6313  0.2265  0.2265
O  0.6332  0.0859  0.6332
O  0.6332  0.6332  0.0859
O  0.7735  0.3687  0.7735
O  0.7735  0.7735  0.3687
O  0.9141  0.3668  0.3668

The value obtained for the total energy is -6.534 eV/atom. As for the volume: 209.9 Å³/cell. The space group is R-3m (166).